(1)
A plane-wave DFT calculation with PBE was carried out for an optimized crystal structure of V5TcGe5.

Results
* crystal system: monoclinic

a = 4.753 Å, b = 6.264 Å, c = 6.524 Å
α = 105.87°, β = 90.00°, γ = 112.30°
Fractional positions:
Ge1 0.803 0.606 0.115
V1 0.637 0.274 0.371
Ge2 0.182 0.365 0.310
Ge3 0.500 0.000 0.000
V2 0.000 0.000 0.500
Ge4 0.197 0.394 0.885
V3 0.363 0.726 0.629
V4 0.599 0.198 0.711
Ge5 0.818 0.635 0.690
V5 0.401 0.802 0.289
Tc1 0.000 0.000 0.000

(2)
A plane-wave DFT calculation with PBE was carried out for an optimized crystal structure of V12TcGe3.

Results
* crystal system: orthorhombic

a = 4.765 Å, b = 4.765 Å, c = 9.542 Å
α = 90.00°, β = 90.00°, γ = 90.00°
Fractional positions:
V1 0.500 0.000 0.378
V2 0.500 0.000 0.129
V3 0.254 0.500 0.000
Ge1 0.500 0.500 0.249
V4 0.751 0.500 0.500
V5 0.000 0.247 0.251
V6 0.000 0.247 0.749
Ge2 0.000 0.000 0.000
V7 0.746 0.500 0.000
Ge3 0.500 0.500 0.751
V8 0.000 0.753 0.749
V9 0.249 0.500 0.500
V10 0.500 0.000 0.871
V11 0.000 0.753 0.251
V12 0.500 0.000 0.622
Tc1 0.000 0.000 0.500

Number 1: DFT formation energy 0.152 eV/atom. Number 2: DFT formation energy -0.305 eV/atom.